{"formula": "NdCr2BiO8", "functional": "PBE with a Hubbard U", "state": "optimized geometry", "dos_ef_per_ev_fu": 0.83, "crystal_system": "tetragonal", "dft_energy_ev_per_atom": -7.06, "cell": [[6.160, -0.029, 0.000], [-2.758, 5.508, 0.000], [-1.701, -2.739, 5.249]], "species": ["Cr", "Cr", "O", "O", "O", "O", "O", "O", "O", "O", "Bi", "Nd"], "frac_coords": [[0.500, 0.500, 0.000], [0.750, 0.250, 0.500], [0.490, 0.670, 0.820], [0.920, 0.241, 0.320], [0.759, 0.080, 0.680], [0.400, 0.080, 0.320], [0.330, 0.510, 0.180], [0.920, 0.600, 0.680], [0.850, 0.670, 0.180], [0.330, 0.150, 0.820], [0.000, 0.000, 0.000], [0.250, 0.750, 0.500]]}